1.
Computed, not measured: an optimized crystal structure of Ir5Os5Ru2 at the PBE level of DFT.

SG: P-1
E_form (kJ/mol of formula units): 42
Size of the total moment (Bohr magnetons per cell): 0.00

Lattice parameters (Å, degrees): 4.7227 4.7210 10.5649 68.04 58.51 59.99
Fractional positions:
Ru1 0.0848 0.5851 0.2498
Ru2 0.9152 0.4149 0.7502
Os1 0.1698 0.1669 0.4993
Os2 0.0000 0.0000 0.0000
Os3 0.8302 0.8331 0.5007
Os4 0.7468 0.2437 0.2525
Os5 0.2532 0.7563 0.7475
Ir1 0.6686 0.6639 0.0004
Ir2 0.3314 0.3361 0.9996
Ir3 0.4157 0.9181 0.2507
Ir4 0.5843 0.0819 0.7493
Ir5 0.5000 0.5000 0.5000

---

2.
Computed, not measured: an optimized crystal structure of Ir6OsRu at the PBE level of DFT.

SG: P4/mmm
E_form (kJ/mol of formula units): 4
Size of the total moment (Bohr magnetons per cell): 0.00

Lattice parameters (Å, degrees): 3.8631 3.8631 7.7228 90.00 90.00 90.00
Fractional positions:
Ru1 0.0000 0.0000 0.0000
Ir1 0.5000 0.5000 0.5000
Ir2 0.0000 0.5000 0.2504
Ir3 0.5000 0.0000 0.7496
Ir4 0.0000 0.5000 0.7496
Ir5 0.5000 0.0000 0.2504
Ir6 0.5000 0.5000 0.0000
Os1 0.0000 0.0000 0.5000